1.
Zr2PtW: optimized geometry, GGA-PBEsol.

The energy of formation comes out at -0.24 eV/atom.

Cell and atoms, written as extended XYZ:
```
4
Lattice="5.152 -1.413 0.000 5.152 1.413 0.000 -1.047 0.000 5.008" Properties=species:S:1:pos:R:3 pbc="T T T"
Zr 0.000 0.000 0.000
Zr 1.447 0.000 3.235
Pt 7.565 0.000 0.804
W 4.180 0.000 2.398
```


2.
TiAs2: optimized geometry, GGA-PBEsol.

The energy of formation comes out at -0.71 eV/atom.

Cell and atoms, written as extended XYZ:
```
24
Lattice="8.839 0.000 0.000 0.000 13.108 0.000 0.000 0.000 3.458" Properties=species:S:1:pos:R:3 pbc="T T T"
Ti 0.171 3.236 0.000
Ti 1.521 13.017 0.000
Ti 2.899 6.463 1.729
Ti 4.249 9.790 1.729
Ti 4.590 3.318 1.729
Ti 5.940 6.645 1.729
Ti 7.318 0.091 0.000
Ti 8.668 9.872 0.000
As 0.100 1.314 1.729
As 1.010 5.790 0.000
As 1.449 8.657 1.729
As 2.002 3.955 1.729
As 2.417 10.509 0.000
As 2.971 2.103 0.000
As 3.410 12.344 1.729
As 4.319 7.868 0.000
As 4.520 5.240 0.000
As 5.429 0.764 1.729
As 5.868 11.005 0.000
As 6.421 2.599 0.000
As 6.837 9.153 1.729
As 7.390 4.451 1.729
As 7.829 7.318 0.000
As 8.739 11.794 1.729
```